No. 1
{
  "formula": "SrTm2TaN4",
  "functional": "PBE-GGA",
  "state": "relaxed",
  "lattice": [[-2.2317, -2.2413, -1.3009], [3.9948, 1.3386, -4.6638], [7.0977, -9.0829, 3.4726]],
  "species": ["N", "Ta", "Sr", "N", "Tm", "N", "Sr", "Tm", "N", "Tm", "N", "N", "N", "Ta", "N", "Tm"],
  "frac_coords": [[0.7433, 0.4866, 0.6169], [0.8338, 0.6676, 0.7500], [0.0987, 0.1974, 0.7500], [0.0000, 0.0000, 0.5000], [0.6285, 0.2570, 0.0333], [0.7433, 0.4866, 0.8831], [0.9013, 0.8026, 0.2500], [0.3715, 0.7430, 0.9667], [0.4253, 0.8507, 0.7500], [0.6285, 0.2570, 0.4667], [0.2567, 0.5134, 0.3831], [0.0000, 0.0000, 0.0000], [0.2567, 0.5134, 0.1169], [0.1662, 0.3324, 0.2500], [0.5747, 0.1493, 0.2500], [0.3715, 0.7430, 0.5333]],
  "sg": "Cmcm",
  "crystal_system": "orthorhombic",
  "dos_at_fermi_per_ev_atom": 0.37,
  "formation_energy_uncorrected_ev_per_atom": -1.31,
  "dft_energy_ev_per_atom": -8.286
}

***

No. 2
{
  "formula": "Mo2PtCl",
  "functional": "PBE-GGA",
  "state": "relaxed",
  "lattice": [[4.2285, -0.0022, 0.0023], [3.3232, 2.6147, 0.0023], [0.8282, 0.2865, 5.7577]],
  "species": ["Mo", "Cl", "Pt", "Mo"],
  "frac_coords": [[0.4986, 0.4986, 0.4807], [0.2500, 0.2500, 0.2500], [0.7500, 0.7500, 0.7500], [0.0014, 0.0014, 0.0193]],
  "sg": "C2/m",
  "crystal_system": "monoclinic",
  "dos_at_fermi_per_ev_atom": 0.86,
  "formation_energy_uncorrected_ev_per_atom": 0.35,
  "e_above_lowest_polymorph_kj_per_mol_fu": 118,
  "dft_energy_ev_per_atom": -7.033
}

***

No. 3
{
  "formula": "NiRuS",
  "functional": "PBE-GGA",
  "state": "relaxed",
  "lattice": [[4.0002, 0.0000, -0.0027], [0.0000, 3.7455, 0.0000], [-0.2568, 0.0000, 5.5581]],
  "species": ["S", "Ni", "S", "Ru", "Ru", "Ni"],
  "frac_coords": [[0.2702, 0.2500, 0.2584], [0.4377, 0.2500, 0.6372], [0.7298, 0.7500, 0.7416], [0.7596, 0.2500, 0.0594], [0.2404, 0.7500, 0.9406], [0.5623, 0.7500, 0.3628]],
  "sg": "P2_1/m",
  "crystal_system": "monoclinic",
  "dos_at_fermi_per_ev_atom": 0.53,
  "formation_energy_uncorrected_ev_per_atom": -0.11,
  "e_above_lowest_polymorph_kj_per_mol_fu": 11,
  "dft_energy_ev_per_atom": -6.505
}

***

Which formula does entry 3 have? NiRuS